[1]
Compound: LiAcCu
Source: Alexandria via LeMat-Bulk
Functional: PBE
Structure: relaxed

```
LiAcCu
1.0
-3.0361 -2.0976 -0.4969
1.9112 -2.2224 -2.2962
1.9624 -0.8273 5.4531
Ac Cu Li
1 1 1
Direct
0.9395 0.9395 0.8789
0.2589 0.2589 0.5177
0.6517 0.6517 0.3034
```

Properties
Energy of formation from the pure elements: 59 meV per atom
Space group: I4mm
Magnetization: 0.00 μB per formula unit
Excess energy over the best structure of this formula in the dataset: 37.6 kJ/mol of formula units

---

[2]
Compound: LiAcCu
Source: Alexandria via LeMat-Bulk
Functional: PBE
Structure: relaxed

```
LiAcCu
1.0
-4.2939 -2.4744 0.3231
-0.0342 -4.9592 -0.2642
-1.0144 -2.6953 4.0461
Ac Cu Li
1 1 1
Direct
0.0000 0.0000 0.0000
0.2500 0.2500 0.2500
0.5000 0.5000 0.5000
```

Properties
Energy of formation from the pure elements: 94 meV per atom
Space group: F-43m
Magnetization: 0.00 μB per formula unit
Excess energy over the best structure of this formula in the dataset: 47.6 kJ/mol of formula units

---

[3]
Compound: LiAcCu
Source: Alexandria via LeMat-Bulk
Functional: PBE
Structure: relaxed

```
LiAcCu
1.0
4.0455 0.0000 0.0000
0.0000 4.6062 0.0000
0.0000 -2.3031 3.9891
Ac Cu Li
1 1 1
Direct
0.6665 0.6667 0.3333
0.1672 0.0000 0.0000
0.1663 0.3333 0.6667
```

Properties
Energy of formation from the pure elements: -22 meV per atom
Space group: P-6m2
Magnetization: 0.00 μB per formula unit
Excess energy over the best structure of this formula in the dataset: 14.2 kJ/mol of formula units

---

[4]
Compound: LiAc2Cu16
Source: Alexandria via LeMat-Bulk
Functional: PBE
Structure: relaxed

```
LiAc2Cu16
1.0
-0.2311 6.3618 -1.8459
-4.2949 2.0213 4.6262
4.4857 2.2537 4.3281
Li Ac Cu
1 2 16
Direct
0.9100 0.9100 0.9100
0.6547 0.6547 0.6547
0.3400 0.3400 0.3400
0.7130 0.0003 0.2878
0.0003 0.2878 0.7130
0.2878 0.7130 0.0003
0.0003 0.7130 0.2878
0.7130 0.2878 0.0003
0.2878 0.0003 0.7130
0.3380 0.8467 0.3380
0.8467 0.3380 0.3380
0.3380 0.3380 0.8467
0.6599 0.1539 0.6599
0.1539 0.6599 0.6599
0.6599 0.6599 0.1539
0.0008 0.4982 0.0008
0.4982 0.0008 0.0008
0.0008 0.0008 0.4982
0.0968 0.0968 0.0968
```

Properties
Energy of formation from the pure elements: -92 meV per atom
Space group: R3m
Magnetization: 0.00 μB per formula unit

---

[5]
Compound: LiAc2Cu2
Source: Alexandria via LeMat-Bulk
Functional: PBE
Structure: relaxed

```
LiAc2Cu2
1.0
-2.3554 -3.2875 -0.9034
3.5033 -0.5130 -7.2675
5.6538 -4.8946 3.0710
Li Ac Cu
2 4 4
Direct
0.0000 0.0000 0.0000
0.0000 0.5000 0.5000
0.5000 0.1765 0.6765
0.5000 0.6765 0.8235
0.5000 0.8235 0.3235
0.5000 0.3235 0.1765
0.0000 0.3853 0.8853
0.0000 0.8853 0.6147
0.0000 0.6147 0.1147
0.0000 0.1147 0.3853
```

Properties
Energy of formation from the pure elements: -104 meV per atom
Space group: P4/mbm
Magnetization: 0.00 μB per formula unit

---

[6]
Compound: LiAcCu
Source: Alexandria via LeMat-Bulk
Functional: PBE
Structure: relaxed

```
LiAcCu
1.0
-0.8515 0.8836 -4.0491
0.2972 -3.9555 -0.9257
-9.2276 0.9037 2.1377
Li Ac Cu
2 2 2
Direct
0.7500 0.2883 0.5766
0.2500 0.7117 0.4234
0.2500 0.9020 0.8039
0.7500 0.0980 0.1961
0.2500 0.5389 0.0778
0.7500 0.4611 0.9222
```

Properties
Energy of formation from the pure elements: -71 meV per atom
Space group: Cmcm
Magnetization: 0.00 μB per formula unit
Excess energy over the best structure of this formula in the dataset: 0.0 kJ/mol of formula units

---

- Among the records above, which one has the lowest energy of formation from the pure elements?
  LiAc2Cu2

---

- The lowest energy of formation from the pure elements belongs to which entry?
  LiAc2Cu2

---

- Which of these has the highest energy of formation from the pure elements?
  number 2

---

- What is the energy of formation from the pure elements in the first record?
  59 meV per atom